CrGaIrW | PBE-GGA | optimized geometry

Summary:
Total DFT energy (no corrections), eV per atom: -8.659
E_form, meV per atom: -43
Mass density, g/cm³: 14.5
Space-group type: F-43m
DOS at the Fermi energy, states/eV/f.u.: 1.737

a = 6.1106 Å, b = 6.1106 Å, c = 6.1106 Å
α = 90.00°, β = 90.00°, γ = 90.00°
Closest atoms and distances in Å follow each position.
Sites, in units of the cell vectors:
Cr (0.0000, 0.0000, 0.0000)  4 Ga 2.65, 4 W 2.65
Cr (0.0000, 0.5000, 0.5000)  4 Ga 2.65, 4 W 2.65
Cr (0.5000, 0.0000, 0.5000)  4 Ga 2.65, 4 W 2.65
Cr (0.5000, 0.5000, 0.0000)  4 Ga 2.65, 4 W 2.65
Ga (0.2500, 0.2500, 0.7500)  4 Cr 2.65, 4 Ir 2.65
Ga (0.2500, 0.7500, 0.2500)  4 Cr 2.65, 4 Ir 2.65
Ga (0.7500, 0.2500, 0.2500)  4 Cr 2.65, 4 Ir 2.65
Ga (0.7500, 0.7500, 0.7500)  4 Cr 2.65, 4 Ir 2.65
Ir (0.0000, 0.0000, 0.5000)  4 W 2.65, 4 Ga 2.65
Ir (0.0000, 0.5000, 0.0000)  4 W 2.65, 4 Ga 2.65
Ir (0.5000, 0.0000, 0.0000)  4 W 2.65, 4 Ga 2.65
Ir (0.5000, 0.5000, 0.5000)  4 W 2.65, 4 Ga 2.65
W (0.2500, 0.2500, 0.2500)  4 Cr 2.65, 4 Ir 2.65
W (0.2500, 0.7500, 0.7500)  4 Cr 2.65, 4 Ir 2.65
W (0.7500, 0.2500, 0.7500)  4 Cr 2.65, 4 Ir 2.65
W (0.7500, 0.7500, 0.2500)  4 Cr 2.65, 4 Ir 2.65



InCuI4 | PBE-GGA | optimized geometry

Summary:
Total DFT energy (no corrections), eV per atom: -2.566
Mass density, g/cm³: 4.5
Uncorrected formation energy, eV per atom: -0.3931
Space-group type: P-42c

a = 6.5416 Å, b = 6.5416 Å, c = 11.8846 Å
α = 90.00°, β = 90.00°, γ = 90.00°
Closest atoms and distances in Å follow each position.
Sites, in units of the cell vectors:
In (0.0000, 0.5000, 0.2500)  4 I 2.79
In (0.5000, 0.0000, 0.7500)  4 I 2.79
Cu (0.0000, 0.0000, 0.0000)  4 I 2.63
Cu (0.0000, 0.0000, 0.5000)  4 I 2.63
I (0.2400, 0.2467, 0.3850)  1 Cu 2.63, 1 In 2.79
I (0.2400, 0.7533, 0.1150)  1 Cu 2.63, 1 In 2.79
I (0.2467, 0.2400, 0.8850)  1 Cu 2.63, 1 In 2.79
I (0.2467, 0.7600, 0.6150)  1 Cu 2.63, 1 In 2.79
I (0.7533, 0.2400, 0.6150)  1 Cu 2.63, 1 In 2.79
I (0.7533, 0.7600, 0.8850)  1 Cu 2.63, 1 In 2.79
I (0.7600, 0.2467, 0.1150)  1 Cu 2.63, 1 In 2.79
I (0.7600, 0.7533, 0.3850)  1 Cu 2.63, 1 In 2.79



MnNiH | PBE-GGA | optimized geometry

Summary:
Total DFT energy (no corrections), eV per atom: -6.059
Mass density, g/cm³: 7.7
Space-group type: P4mm
DOS at the Fermi energy, states/eV/f.u.: 2.787

a = 2.5704 Å, b = 2.5704 Å, c = 7.4969 Å
α = 90.00°, β = 90.00°, γ = 90.00°
Closest atoms and distances in Å follow each position.
Sites, in units of the cell vectors:
Mn (0.0000, 0.0000, 0.0000)  4 H 1.82
Mn (0.5000, 0.5000, 0.2590)  2 H 1.84-1.97
Ni (0.0000, 0.0000, 0.5100)  4 H 1.82
Ni (0.5000, 0.5000, 0.7613)  2 H 1.79-1.89
H (0.5000, 0.5000, 0.0136)  5 Mn 1.82-1.84, 1 Ni 1.89
H (0.5000, 0.5000, 0.5223)  5 Ni 1.79-1.82, 1 Mn 1.97



LiLaSbIr | PBE-GGA | optimized geometry

Summary:
Total DFT energy (no corrections), eV per atom: -5.622
Mass density, g/cm³: 9.4
Uncorrected formation energy, eV per atom: -0.6656
Space-group type: F-43m

a = 6.8767 Å, b = 6.8767 Å, c = 6.8767 Å
α = 90.00°, β = 90.00°, γ = 90.00°
Closest atoms and distances in Å follow each position.
Sites, in units of the cell vectors:
Li (0.0000, 0.0000, 0.0000)  4 Sb 2.98, 4 La 2.98
Li (0.0000, 0.5000, 0.5000)  4 Sb 2.98, 4 La 2.98
Li (0.5000, 0.0000, 0.5000)  4 Sb 2.98, 4 La 2.98
Li (0.5000, 0.5000, 0.0000)  4 Sb 2.98, 4 La 2.98
La (0.2500, 0.2500, 0.7500)  4 Li 2.98, 4 Ir 2.98
La (0.2500, 0.7500, 0.2500)  4 Li 2.98, 4 Ir 2.98
La (0.7500, 0.2500, 0.2500)  4 Li 2.98, 4 Ir 2.98
La (0.7500, 0.7500, 0.7500)  4 Li 2.98, 4 Ir 2.98
Sb (0.2500, 0.2500, 0.2500)  4 Ir 2.98, 4 Li 2.98
Sb (0.2500, 0.7500, 0.7500)  4 Li 2.98, 4 Ir 2.98
Sb (0.7500, 0.2500, 0.7500)  4 Li 2.98, 4 Ir 2.98
Sb (0.7500, 0.7500, 0.2500)  4 Li 2.98, 4 Ir 2.98
Ir (0.0000, 0.0000, 0.5000)  4 La 2.98, 4 Sb 2.98
Ir (0.0000, 0.5000, 0.0000)  4 La 2.98, 4 Sb 2.98
Ir (0.5000, 0.0000, 0.0000)  4 La 2.98, 4 Sb 2.98
Ir (0.5000, 0.5000, 0.5000)  4 La 2.98, 4 Sb 2.98